(1)
The following is a PBE-GGA calculation of crystalline PrZnNi3 at its relaxed geometry, from the Alexandria database.

Cell: 5.0446 6.7794 9.3118 Å, 90.00 90.00 90.00°
Space group Imma (No. 74)
One atom of each set of equivalent atoms:
Pr1 0.0000 0.0000 0.0000
Zn1 0.0000 0.2500 0.4710
Ni1 0.0000 0.0636 0.6948
Ni2 0.2500 0.2500 0.2500

Values from the calculation:
Formation enthalpy at 0 K: -0.156 eV/atom
Total moment: 0.0 μB/cell
Electronic total energy: -4.84 eV per atom
Theoretical density: 7.98 g/cm³
Energy above the lowest structure with this stoichiometry: 0 meV per atom

=====

(2)
The following is a PBE-GGA calculation of crystalline CoTeW2 at its relaxed geometry, from the Alexandria database.

Cell: 4.5887 4.5887 3.0310 Å, 90.00 90.00 90.00°
Space group P4/mmm (No. 123)
One atom of each set of equivalent atoms:
Co1 0.0000 0.0000 0.0000
Te1 0.5000 0.5000 0.0000
W1 0.0000 0.5000 0.5000

Values from the calculation:
Total moment: 0.6 μB/cell
Electronic total energy: -8.31 eV per atom
Theoretical density: 14.42 g/cm³
Uncorrected formation energy: 0.726 eV per atom

=====

(3)
The following is a PBE-GGA calculation of crystalline ReTe3 at its relaxed geometry, from the Alexandria database.

Cell: 2.9640 3.4250 10.8921 Å, 90.00 90.76 90.00°
Space group P2/m (No. 10)
One atom of each set of equivalent atoms:
Re1 0.0000 0.0000 0.0000
Te1 0.0000 0.0000 0.5000
Te2 0.0090 0.5000 0.1906

Values from the calculation:
Total moment: 0.0 μB/cell
Electronic total energy: -4.98 eV per atom
Theoretical density: 8.55 g/cm³
Energy above the lowest structure with this stoichiometry: 283 meV per atom
Uncorrected formation energy: 0.490 eV per atom

=====

(4)
The following is a PBE-GGA calculation of crystalline Li3CdPt2 at its relaxed geometry, from the Alexandria database.

Cell: 5.4588 4.0292 8.2221 Å, 90.00 91.52 90.00°
Space group P2_1/m (No. 11)
One atom of each set of equivalent atoms:
Li1 0.1052 0.2500 0.2417
Li2 0.1355 0.2500 0.5809
Li3 0.3500 0.7500 0.0850
Cd1 0.3925 0.7500 0.7563
Pt1 0.1324 0.2500 0.9197
Pt2 0.3592 0.7500 0.4127

Values from the calculation:
Formation enthalpy at 0 K: -0.451 eV/atom
Total moment: 0.0 μB/cell
Electronic total energy: -3.57 eV per atom
Theoretical density: 9.62 g/cm³

=====

(5)
The following is a PBE-GGA calculation of crystalline Rb2BeNbS at its relaxed geometry, from the Alexandria database.

Cell: 5.9151 5.9151 4.7732 Å, 90.00 90.00 90.00°
Space group P4/mmm (No. 123)
One atom of each set of equivalent atoms:
Rb1 0.0000 0.5000 0.0000
Be1 0.0000 0.0000 0.0000
Nb1 0.0000 0.0000 0.5000
S1 0.5000 0.5000 0.5000

Values from the calculation:
Total moment: 0.8 μB/cell
Electronic total energy: -2.82 eV per atom
Theoretical density: 3.03 g/cm³
Uncorrected formation energy: 1.154 eV per atom

=====

(6)
The following is a PBE-GGA calculation of crystalline KAs2Ir at its relaxed geometry, from the Alexandria database.

Cell: 7.4311 7.4311 8.2637 Å, 90.00 90.00 90.00°
Space group I-42d (No. 122)
One atom of each set of equivalent atoms:
K1 0.0000 0.0000 0.0000
As1 0.1408 0.7500 0.6250
Ir1 0.0000 0.0000 0.5000

Values from the calculation:
Formation enthalpy at 0 K: -0.144 eV/atom
Total moment: 0.0 μB/cell
Electronic total energy: -4.96 eV per atom
Theoretical density: 5.55 g/cm³
Energy above the lowest structure with this stoichiometry: 163 meV per atom